[1]
A plane-wave DFT calculation with PBE was carried out for crystalline RePdRh2 at its relaxed geometry.

Computed properties:
Electronic total energy ... -0.2803 Ha/atom
Energy of formation from the pure elements ... 0.460 eV per atom

Geometry as extended XYZ:
```
8
Lattice="-4.464 -3.379 -4.192 4.639 -5.178 -0.767 -0.966 -5.538 -0.342" Properties=species:S:1:pos:R:3 pbc="T T T"
Re 0.000 0.000 0.000
Re -2.672 -6.598 -3.507
Rh -2.610 -4.263 -2.950
Rh 2.257 -4.924 -0.941
Rh -0.823 -7.180 -2.089
Rh -0.408 -11.824 -4.623
Pd 0.087 -4.278 -2.479
Pd 1.880 -7.497 -1.794
```

=====

[2]
A plane-wave DFT calculation with PBE was carried out for crystalline RePd3Rh at its relaxed geometry.

Computed properties:
Electronic total energy ... -0.2039 Ha/atom
Energy of formation from the pure elements ... 1.528 eV per atom

Geometry as extended XYZ:
```
5
Lattice="4.728 0.000 0.000 0.000 4.728 0.000 0.000 0.000 4.728" Properties=species:S:1:pos:R:3 pbc="T T T"
Re 0.000 0.000 0.000
Rh 2.364 2.364 2.364
Pd 0.000 2.364 0.000
Pd 0.000 0.000 2.364
Pd 2.364 0.000 0.000
```

=====

[3]
A plane-wave DFT calculation with PBE was carried out for crystalline RePd2Rh8 at its relaxed geometry.

Computed properties:
Electronic total energy ... -0.2606 Ha/atom
Energy of formation from the pure elements ... 0.331 eV per atom

Geometry as extended XYZ:
```
11
Lattice="4.403 0.159 -0.749 -1.951 5.314 -2.676 -0.423 0.254 7.064" Properties=species:S:1:pos:R:3 pbc="T T T"
Re 2.202 0.079 -0.375
Pd 1.534 3.882 0.339
Pd 0.495 1.844 3.300
Rh 0.035 1.738 0.572
Rh 3.667 0.854 4.567
Rh 2.352 2.297 -1.636
Rh 2.527 1.291 1.794
Rh -0.498 4.435 1.846
Rh 0.100 3.175 -1.789
Rh -1.638 4.872 -0.928
Rh 1.994 3.988 3.067
```

=====

[4]
A plane-wave DFT calculation with PBE was carried out for crystalline RePdRh2 at its relaxed geometry.

Computed properties:
Electronic total energy ... -0.3009 Ha/atom
Energy of formation from the pure elements ... -0.101 eV per atom

Geometry as extended XYZ:
```
4
Lattice="-1.907 -1.353 1.429 1.668 -0.054 2.174 -2.975 6.784 2.451" Properties=species:S:1:pos:R:3 pbc="T T T"
Re 0.000 0.000 0.000
Pd -1.488 3.392 1.226
Rh -0.825 0.904 2.383
Rh -2.390 4.472 3.672
```

=====

[5]
A plane-wave DFT calculation with PBE was carried out for crystalline RePd3Rh at its relaxed geometry.

Computed properties:
Electronic total energy ... -0.1917 Ha/atom
Energy of formation from the pure elements ... 1.860 eV per atom

Geometry as extended XYZ:
```
5
Lattice="-4.180 -0.183 -2.246 -1.502 -3.302 3.064 -1.680 3.408 2.849" Properties=species:S:1:pos:R:3 pbc="T T T"
Re -3.681 -0.039 1.834
Rh 0.000 0.000 0.000
Pd -0.751 -1.651 1.532
Pd -0.840 1.704 1.424
Pd -2.090 -0.092 -1.123
```

=====

[6]
A plane-wave DFT calculation with PBE was carried out for crystalline RePdRh2 at its relaxed geometry.

Computed properties:
Electronic total energy ... -0.2998 Ha/atom
Energy of formation from the pure elements ... -0.073 eV per atom

Geometry as extended XYZ:
```
4
Lattice="2.741 0.000 0.000 1.370 2.374 0.000 1.370 0.791 9.011" Properties=species:S:1:pos:R:3 pbc="T T T"
Re 0.000 0.000 0.000
Rh 4.111 2.374 6.841
Rh 1.370 0.791 2.170
Pd 2.741 1.582 4.505
```

=====

[7]
A plane-wave DFT calculation with PBE was carried out for crystalline RePdRh2 at its relaxed geometry.

Computed properties:
Electronic total energy ... -0.2879 Ha/atom
Energy of formation from the pure elements ... 0.251 eV per atom

Geometry as extended XYZ:
```
4
Lattice="-1.556 -2.819 2.959 -4.276 -0.074 0.912 -2.451 -3.386 -1.284" Properties=species:S:1:pos:R:3 pbc="T T T"
Re -4.142 -3.140 1.294
Rh -2.071 -1.570 0.647
Rh -6.213 -4.709 1.941
Pd 0.000 0.000 0.000
```

=====

[8]
A plane-wave DFT calculation with PBE was carried out for crystalline RePd2Rh3 at its relaxed geometry.

Computed properties:
Electronic total energy ... -0.2701 Ha/atom
Energy of formation from the pure elements ... 0.131 eV per atom

Geometry as extended XYZ:
```
12
Lattice="2.728 0.000 0.000 0.000 5.462 0.000 0.000 0.000 12.252" Properties=species:S:1:pos:R:3 pbc="T T T"
Re 0.000 2.731 0.000
Re 1.364 0.000 6.126
Pd 1.364 4.108 1.947
Pd 0.000 4.084 8.074
Pd 0.000 1.377 4.179
Pd 1.364 1.353 10.305
Rh 0.000 0.000 0.000
Rh 1.364 2.731 6.126
Rh 1.364 1.376 1.821
Rh 1.364 4.085 10.431
Rh 0.000 1.355 7.947
Rh 0.000 4.107 4.305
```

=====

[9]
A plane-wave DFT calculation with PBE was carried out for crystalline RePdRh2 at its relaxed geometry.

Computed properties:
Electronic total energy ... -0.2785 Ha/atom
Energy of formation from the pure elements ... 0.508 eV per atom

Geometry as extended XYZ:
```
4
Lattice="3.767 0.000 0.000 1.884 3.263 0.000 1.884 1.088 5.635" Properties=species:S:1:pos:R:3 pbc="T T T"
Re 3.767 2.175 2.755
Pd 3.767 2.175 0.029
Rh 1.884 1.088 4.115
Rh 1.884 1.088 1.554
```

=====

[10]
A plane-wave DFT calculation with PBE was carried out for crystalline RePd3Rh6 at its relaxed geometry.

Computed properties:
Electronic total energy ... -0.2552 Ha/atom
Energy of formation from the pure elements ... 0.268 eV per atom

Geometry as extended XYZ:
```
10
Lattice="-4.258 -0.512 -2.812 1.248 -3.593 3.439 -3.579 3.359 4.808" Properties=species:S:1:pos:R:3 pbc="T T T"
Re 0.000 0.000 0.000
Pd -1.790 1.679 2.404
Pd -4.212 0.141 1.676
Pd -2.377 -0.886 3.759
Rh -4.702 0.325 4.301
Rh -2.415 1.273 5.341
Rh -4.672 2.537 2.778
Rh 0.084 -1.507 2.906
Rh -1.886 -1.070 1.134
Rh -3.165 0.311 -0.783
```

=====

[11]
A plane-wave DFT calculation with PBE was carried out for crystalline ReSb2PdRh at its relaxed geometry.

Computed properties:
Electronic total energy ... -0.1967 Ha/atom
E_form (uncorrected) ... 1.296 eV/atom

Geometry as extended XYZ:
```
5
Lattice="4.911 0.000 0.000 0.000 4.997 0.000 0.000 0.000 4.911" Properties=species:S:1:pos:R:3 pbc="T T T"
Re 2.456 2.499 2.456
Rh 0.000 0.000 0.000
Pd 0.000 2.499 0.000
Sb 0.000 0.000 2.456
Sb 2.456 0.000 0.000
```

=====

[12]
A plane-wave DFT calculation with PBE was carried out for crystalline Re2PdRhSe at its relaxed geometry.

Computed properties:
Electronic total energy ... -0.2133 Ha/atom
E_form (uncorrected) ... 2.382 eV/atom

Geometry as extended XYZ:
```
5
Lattice="4.786 0.000 0.000 0.000 4.629 0.000 0.000 0.000 4.786" Properties=species:S:1:pos:R:3 pbc="T T T"
Re 0.000 0.000 2.393
Re 2.393 0.000 0.000
Rh 2.393 2.315 2.393
Se 0.000 2.315 0.000
Pd 0.000 0.000 0.000
```

=====

[13]
A plane-wave DFT calculation with PBE was carried out for crystalline YRe2PdRh at its relaxed geometry.

Computed properties:
Electronic total energy ... -0.2249 Ha/atom
Energy of formation from the pure elements ... 2.661 eV per atom

Geometry as extended XYZ:
```
5
Lattice="4.804 0.000 0.000 0.000 4.794 0.000 0.000 0.000 4.804" Properties=species:S:1:pos:R:3 pbc="T T T"
Y 0.000 0.000 0.000
Re 0.000 0.000 2.402
Re 2.402 0.000 0.000
Rh 2.402 2.397 2.402
Pd 0.000 2.397 0.000
```

=====

[14]
A plane-wave DFT calculation with PBE was carried out for crystalline Re3PdRu at its relaxed geometry.

Computed properties:
Electronic total energy ... -0.3014 Ha/atom
Energy of formation from the pure elements ... 2.162 eV per atom

Geometry as extended XYZ:
```
5
Lattice="-2.058 1.222 3.952 0.876 -4.185 1.750 4.043 1.529 1.632" Properties=species:S:1:pos:R:3 pbc="T T T"
Re 0.438 -2.093 0.875
Re 2.021 0.765 0.816
Re -1.029 0.611 1.976
Pd 1.431 -0.717 3.667
Ru 0.000 0.000 0.000
```